1.
A relaxed structure of YAl2, computed with GGA-PBEsol.

Computed properties:
The value obtained for the density of states at the Fermi level is 0.42 states/eV/atom. The calculation puts the formation energy at -0.4495 eV per atom. The calculation puts the size of the total moment at 0.00 μB/f.u.

a = 5.6707 Å, b = 5.6707 Å, c = 5.7794 Å
α = 90.00°, β = 90.00°, γ = 137.69°
Fractional positions:
Y1 0.1971 0.8029 0.7500
Y2 0.8029 0.1971 0.2500
Al1 0.0957 0.9043 0.2500
Al2 0.5000 0.5000 0.0000
Al3 0.5000 0.5000 0.5000
Al4 0.9043 0.0957 0.7500

---

2.
A relaxed structure of TlCuTe2, computed with GGA-PBEsol.

Computed properties:
The value obtained for the density of states at the Fermi level is 0.26 states/eV/atom. The formation energy from raw total energies comes out at -0.031 eV per atom. The calculation puts the size of the total moment at 0.00 μB/f.u.

a = 4.7674 Å, b = 3.9455 Å, c = 6.4940 Å
α = 90.00°, β = 93.90°, γ = 90.00°
Fractional positions:
Tl1 0.0000 0.0000 0.0000
Cu1 0.5000 0.0000 0.5000
Te1 0.4739 0.5000 0.7441
Te2 0.5261 0.5000 0.2559

---

3.
A relaxed structure of YZrRe2, computed with GGA-PBEsol.

Computed properties:
The value obtained for the density of states at the Fermi level is 1.09 states/eV/atom. The calculation puts the formation energy at 0.4366 eV per atom. The calculation puts the size of the total moment at 0.00 μB/f.u.

a = 8.9303 Å, b = 8.9303 Å, c = 8.9303 Å
α = 20.18°, β = 20.18°, γ = 20.18°
Fractional positions:
Y1 0.0000 0.0000 0.0000
Zr1 0.5000 0.5000 0.5000
Re1 0.2457 0.2457 0.2457
Re2 0.7543 0.7543 0.7543